Computed, not measured: CsZnW after structural relaxation at the GGA-PBE level of DFT.

As for the energy: -4.16 eV per atom. The density comes out at 6.50 Mg/m³. Its symmetry is Cm. For the energy relative to the elements, the calculation gives 0.862 eV/atom.

```
CsZnW
1.0
3.520 0.000 0.000
0.000 6.834 0.000
-0.078 0.000 16.227
Cs Zn W
4 4 4
Direct
0.711 0.000 0.321
0.711 0.500 0.821
0.720 0.000 0.677
0.720 0.500 0.177
0.214 0.687 0.001
0.214 0.313 0.001
0.214 0.187 0.501
0.214 0.813 0.501
0.212 0.000 0.901
0.212 0.500 0.401
0.714 0.000 0.004
0.714 0.500 0.504
```

=====

Computed, not measured: CsZnW2 after structural relaxation at the GGA-PBE level of DFT.

As for the energy: -5.16 eV per atom. The density comes out at 10.15 Mg/m³. Its symmetry is I-42d. For the energy relative to the elements, the calculation gives 1.849 eV/atom.

```
CsZnW2
1.0
-0.388 2.152 3.675
-2.692 -2.983 1.463
6.275 -5.580 6.419
Cs Zn W
2 2 4
Direct
0.000 0.000 0.000
0.750 0.250 0.500
0.500 0.500 0.000
0.250 0.750 0.500
0.212 0.125 0.250
0.538 0.625 0.250
0.375 0.788 0.750
0.875 0.462 0.750
```

=====

Computed, not measured: CsZnW after structural relaxation at the GGA-PBE level of DFT.

As for the energy: -3.76 eV per atom. The density comes out at 8.48 Mg/m³. Its symmetry is I4mm. For the energy relative to the elements, the calculation gives 1.263 eV/atom.

```
CsZnW
1.0
3.074 0.000 0.000
0.000 3.074 0.000
0.000 0.000 15.836
Cs Zn W
2 2 2
Direct
0.000 0.000 0.983
0.500 0.500 0.483
0.000 0.000 0.679
0.500 0.500 0.179
0.000 0.000 0.278
0.500 0.500 0.778
```

=====

Computed, not measured: Cs2Zn2W after structural relaxation at the GGA-PBE level of DFT.

As for the energy: -2.12 eV per atom. The density comes out at 6.37 Mg/m³. Its symmetry is I4/mmm. For the energy relative to the elements, the calculation gives 1.318 eV/atom.

```
Cs2Zn2W
1.0
3.433 0.000 0.000
0.000 3.433 0.000
1.717 1.717 12.841
Cs Zn W
2 2 1
Direct
0.389 0.389 0.221
0.611 0.611 0.779
0.750 0.250 0.500
0.250 0.750 0.500
0.000 0.000 0.000
```

=====

Computed, not measured: CsZnW after structural relaxation at the GGA-PBE level of DFT.

As for the energy: -4.40 eV per atom. The density comes out at 6.55 Mg/m³. Its symmetry is P1. For the energy relative to the elements, the calculation gives 0.631 eV/atom.

```
CsZnW
1.0
-2.999 -1.093 1.317
1.829 -0.429 3.808
-3.172 12.989 0.854
Cs Zn W
2 2 2
Direct
0.641 0.244 0.533
0.955 0.896 0.889
0.521 0.515 0.123
0.074 0.595 0.299
0.568 0.085 0.277
0.027 0.025 0.144
```

=====

Computed, not measured: CsZr2W after structural relaxation at the GGA-PBE level of DFT.

As for the energy: -6.38 eV per atom. The density comes out at 8.92 Mg/m³. Its symmetry is Fm-3m. For the energy relative to the elements, the calculation gives 1.350 eV/atom.

```
CsZr2W
1.0
1.557 -4.571 1.591
2.580 -0.432 4.360
-2.189 -2.165 4.046
Cs Zr W
1 2 1
Direct
0.000 0.000 0.000
0.250 0.250 0.250
0.750 0.750 0.750
0.500 0.500 0.500
```

=====

Computed, not measured: CsZr2W after structural relaxation at the GGA-PBE level of DFT.

As for the energy: -6.20 eV per atom. The density comes out at 4.43 Mg/m³. Its symmetry is Fd-3m. For the energy relative to the elements, the calculation gives 1.523 eV/atom.

```
CsZr2W
1.0
8.091 0.000 0.000
0.000 8.091 0.000
4.045 4.045 5.718
Cs Zr W
2 4 2
Direct
0.500 0.500 0.000
0.250 0.750 0.500
0.875 0.125 0.250
0.875 0.625 0.250
0.375 0.125 0.750
0.875 0.125 0.750
0.000 0.000 0.000
0.750 0.250 0.500
```

=====

Computed, not measured: CsZrW2 after structural relaxation at the GGA-PBE level of DFT.

As for the energy: -6.77 eV per atom. The density comes out at 8.57 Mg/m³. Its symmetry is I-42d. For the energy relative to the elements, the calculation gives 2.055 eV/atom.

```
CsZrW2
1.0
4.794 0.000 0.000
0.000 4.794 0.000
2.397 2.397 9.982
Cs Zr W
2 2 4
Direct
0.000 0.000 0.000
0.750 0.250 0.500
0.500 0.500 0.000
0.250 0.750 0.500
0.289 0.125 0.250
0.461 0.625 0.250
0.375 0.711 0.750
0.875 0.539 0.750
```